An optimized crystal structure of TiRh3O. Source: Alexandria, functional PBE-GGA.

Cell: 4.565 4.565 4.565 Å, 90.00 90.00 90.00°
Last column: magnetic moment on the atom in μB.
Atoms (fractional coordinates):
Rh (0.000, 0.000, 0.500)  0.62
Ti (0.000, 0.000, 0.000)  -0.16
O (0.500, 0.500, 0.500)  1.03
Rh (0.000, 0.500, 0.000)  0.71
Rh (0.500, 0.000, 0.000)  0.47

- raw formation energy (meV/atom) = 1280
- energy relative to the lowest polymorph listed for this composition (meV/atom) = 1420
- D(E_F) (states/eV per atom) = 1.6507
- final energy (eV/atom) = -5.702
- M_tot (μB per formula unit) = 2.84



An optimized crystal structure of TiRh2O6. Source: Alexandria, functional PBE-GGA.

Cell: 3.744 5.251 6.343 Å, 67.80 72.84 69.11°
Atoms (fractional coordinates):
Ti (0.000, 0.500, 0.500)
O (0.978, 0.819, 0.225)
O (0.022, 0.181, 0.775)
Rh (0.175, 0.752, 0.897)
O (0.300, 0.329, 0.072)
Rh (0.825, 0.248, 0.103)
O (0.700, 0.671, 0.928)
O (0.365, 0.671, 0.599)
O (0.635, 0.329, 0.401)

- raw formation energy (meV/atom) = -1169
- D(E_F) (states/eV per atom) = 0.9512
- final energy (eV/atom) = -6.985
- M_tot (μB per formula unit) = 0.16